1.
! PuSiPt | OQMD | PBE | relaxed; values from VASP
! Space group   P-6m2
! E_tot   -9.4175 eV per atom
! Size of the total moment   5.18 μB/f.u.
&SYSTEM
  ibrav = 0, nat = 3, ntyp = 3
/
ATOMIC_SPECIES
Pt 195.08 Pt.upf
Pu 244.00 Pu.upf
Si 28.09 Si.upf
CELL_PARAMETERS angstrom
-2.2168 -0.8537 -3.5290
0.5158 -3.0047 2.9669
-3.2232 1.1672 1.7424
ATOMIC_POSITIONS angstrom
Pt -1.3060 -1.5707 -1.3637
Pu -1.6116 0.5836 0.8712
Si -0.3951 -2.2877 0.8016


2.
! PuSiPt | OQMD | PBE | relaxed; values from VASP
! Space group   F-43m
! E_tot   -8.5082 eV per atom
! Size of the total moment   4.88 μB/f.u.
&SYSTEM
  ibrav = 0, nat = 3, ntyp = 3
/
ATOMIC_SPECIES
Pt 195.08 Pt.upf
Pu 244.00 Pu.upf
Si 28.09 Si.upf
CELL_PARAMETERS angstrom
3.2774 -2.7415 -1.3937
-1.0188 -3.7777 -2.2115
0.9203 -0.3548 -4.3848
ATOMIC_POSITIONS angstrom
Pt 0.7947 -1.7185 -1.9975
Pu 0.0000 0.0000 0.0000
Si 2.3842 -5.1556 -5.9925


3.
! PuSiPt | OQMD | PBE | relaxed; values from VASP
! Space group   F-43m
! E_tot   -9.0379 eV per atom
! Size of the total moment   4.37 μB/f.u.
&SYSTEM
  ibrav = 0, nat = 3, ntyp = 3
/
ATOMIC_SPECIES
Pt 195.08 Pt.upf
Pu 244.00 Pu.upf
Si 28.09 Si.upf
CELL_PARAMETERS angstrom
-3.2381 -2.4858 -1.7830
-4.0349 1.7580 -0.6878
-1.3991 0.8087 -4.1512
ATOMIC_POSITIONS angstrom
Pt 0.0000 0.0000 0.0000
Pu -2.1680 0.0202 -1.6555
Si -6.5041 0.0606 -4.9665


4.
! Pu2Si5Pt3 | OQMD | PBE | relaxed; values from VASP
! Space group   Ibam
! E_tot   -8.1946 eV per atom
! Size of the total moment   10.61 μB/f.u.
&SYSTEM
  ibrav = 0, nat = 20, ntyp = 3
/
ATOMIC_SPECIES
Pt 195.08 Pt.upf
Pu 244.00 Pu.upf
Si 28.09 Si.upf
CELL_PARAMETERS angstrom
4.0254 -6.6348 2.6352
1.6513 7.9614 -1.0283
-4.9932 -0.2801 6.4929
ATOMIC_POSITIONS angstrom
Pt 1.4192 0.3317 0.4017
Pt 4.2575 0.9950 1.2052
Pt 2.8583 -2.6970 3.5071
Pt -0.7219 -1.6550 3.9168
Pt 1.4054 2.7015 4.1829
Pt -2.1748 3.7435 4.5926
Pu 2.0636 3.6334 1.0884
Pu -1.0266 1.1704 2.6606
Pu 1.7101 -0.1239 5.4391
Pu -1.3801 -2.5869 7.0113
Si 3.6248 -4.6983 2.4514
Si 1.1991 -1.2406 2.4771
Si 4.0374 -0.5773 3.2805
Si 2.2227 1.0625 2.6489
Si 0.9352 -3.1258 4.9657
Si -0.2518 4.1723 3.1340
Si -1.5392 -0.0161 5.4509
Si -3.3540 1.6237 4.8192
Si -0.5156 2.2870 5.6226
Si -2.9414 5.7448 5.6483